Below is crystalline LiFe2B2O6 at its relaxed geometry, with properties calculated at the GGA+U level.

Computed properties:
- space-group type = P-1
- DFT total energy (eV per atom) = -7.113
- energy above the lowest structure with this stoichiometry (eV per atom) = 0.000

a b c (Å): 5.199 5.256 10.267
angles (deg): 90.41 91.53 118.95
Fractional positions:
Li 0.016 0.347 0.345
Li 0.984 0.653 0.655
Fe 0.317 0.325 0.620
Fe 0.353 0.029 0.871
Fe 0.647 0.971 0.129
Fe 0.683 0.675 0.380
B 0.323 0.318 0.129
B 0.335 0.004 0.374
B 0.665 0.996 0.626
B 0.677 0.682 0.871
O 0.045 0.263 0.154
O 0.091 0.737 0.382
O 0.337 0.259 0.413
O 0.372 0.106 0.069
O 0.403 0.977 0.675
O 0.436 0.419 0.833
O 0.564 0.581 0.167
O 0.597 0.023 0.325
O 0.628 0.894 0.931
O 0.663 0.741 0.587
O 0.909 0.263 0.618
O 0.955 0.737 0.846